A relaxed structure of RbCrSbI6, computed with PBE.

Unit cell a=7.736 b=7.736 c=8.140 alpha=90.00 beta=90.00 gamma=120.00
Sites, in units of the cell vectors:
Rb (0.000, 0.000, 0.000)
Cr (0.333, 0.667, 0.500)
Sb (0.667, 0.333, 0.500)
I (0.018, 0.383, 0.708)
I (0.018, 0.635, 0.292)
I (0.365, 0.383, 0.292)
I (0.365, 0.982, 0.708)
I (0.617, 0.635, 0.708)
I (0.617, 0.982, 0.292)

Summary:
* E: -29.01 eV/cell
* raw formation energy: -554.7 meV per atom
* space-group type: No. 149